The following is a PBE-GGA calculation of an optimized crystal structure of NaPuPaO6, from Alexandria via LeMat-Bulk.

## Properties
formation energy without anion corrections: -2.799 eV per atom
space-group type: P4_2nm
total DFT energy (no corrections): -8.899 eV/atom

abc: 5.1582 5.1582 10.2309
angles: 90.00 90.00 90.00
With the nearest neighbours (Å) after each atom.
Fractional coordinates of all 18 atoms:
Na: 0.5000 0.5000 0.1660  6 O 2.39-2.41
Na: 0.0000 0.0000 0.6660  6 O 2.39-2.41
Pu: 0.5000 0.5000 0.8348  6 O 2.06-2.13
Pu: 0.0000 0.0000 0.3348  6 O 2.06-2.13
Pa: 0.5000 0.5000 0.4949  6 O 2.13-2.23
Pa: 0.0000 0.0000 0.9949  6 O 2.13-2.23
O: 0.1966 0.8034 0.4789  1 Pu 2.06, 1 Pa 2.22
O: 0.8034 0.1966 0.4789  1 Pu 2.06, 1 Pa 2.22
O: 0.3034 0.3034 0.9789  1 Pu 2.06, 1 Pa 2.22
O: 0.6966 0.6966 0.9789  1 Pu 2.06, 1 Pa 2.22
O: 0.1716 0.8284 0.1748  1 Pu 2.06, 1 Pa 2.23
O: 0.8284 0.1716 0.1748  1 Pu 2.06, 1 Pa 2.23
O: 0.3284 0.3284 0.6748  1 Pu 2.06, 1 Pa 2.23
O: 0.6716 0.6716 0.6748  1 Pu 2.06, 1 Pa 2.23
O: 0.7919 0.2081 0.8485  1 Pa 2.13, 1 Pu 2.13
O: 0.2081 0.7919 0.8485  1 Pa 2.13, 1 Pu 2.13
O: 0.7081 0.7081 0.3485  1 Pa 2.13, 1 Pu 2.13
O: 0.2919 0.2919 0.3485  1 Pa 2.13, 1 Pu 2.13